First-principles (meta-GGA SCAN) data for a PBEsol-optimized structure of ReTc3, as listed in Alexandria.

Computed properties:
* calculated total energy: -41.632 eV/atom
* space-group type: No. 221
* relative energy among the computed polymorphs: 2454 meV per atom
* magnetic moment: 3.2 Bohr magnetons per cell
* density of states at the Fermi level: 3.53 states/eV/f.u.

Lattice parameters (Å, degrees): 4.669 4.669 4.669 90.00 90.00 90.00
Fractional positions:
Re: 0.000 0.000 0.000
Tc: 0.000 0.000 0.500
Tc: 0.000 0.500 0.000
Tc: 0.500 0.000 0.000